Computed, not measured: a relaxed Sr4Gd4B3 crystal at the PBE level of DFT.

Unit cell a=4.227 b=4.702 c=16.372 alpha=83.82 beta=84.45 gamma=88.00
Each line ends with the local moment (μB).
Fractional positions:
B1 0.000 0.000 0.000  0.01
B2 0.513 0.421 0.459  0.01
B3 0.487 0.579 0.541  0.01
Gd1 0.121 0.950 0.166  0.07
Gd2 0.547 0.388 0.298  0.06
Gd3 0.453 0.612 0.702  0.06
Gd4 0.879 0.050 0.834  0.07
Sr1 0.701 0.492 0.077  0.01
Sr2 0.994 0.826 0.418  0.00
Sr3 0.006 0.174 0.582  0.00
Sr4 0.299 0.508 0.923  0.01

Results
Total energy = -40.81 eV per formula unit
Calculated volume = 29.3 Å³ per atom
Density = 5.220 g cm⁻³
Total magnetization = 0.604 μB/f.u.